CaZn2Ru after structural relaxation. Source: the Alexandria database, functional PBE-GGA.

Output
**Space group**: I4/mmm
**E**: -3.4625 eV/atom
**DOS(E_F)**: 1.80 states/eV/cell
**Spin magnetization**: 0.00 μB/cell

Lattice parameters (Å, degrees): 4.889 4.889 4.889 129.14 129.14 74.79
Sites, in units of the cell vectors:
Ca1 0.000 0.000 0.000
Zn1 0.250 0.750 0.500
Zn2 0.750 0.250 0.500
Ru1 0.500 0.500 0.000